# 1
# Ti2GaC GGA-PBE relaxed
data_Ti2GaC
_cell_length_a 5.971
_cell_length_b 5.971
_cell_length_c 5.971
_cell_angle_alpha 90.00
_cell_angle_beta 90.00
_cell_angle_gamma 90.00
_space_group_name_H-M_alt 'F m -3 m'
_space_group_IT_number 225
_space_group_name_Hall '-F 4 2 3'
loop_
_atom_site_label
_atom_site_type_symbol
_atom_site_fract_x
_atom_site_fract_y
_atom_site_fract_z
Ti1 Ti 0.250 0.250 0.250
Ga1 Ga 0.000 0.000 0.000
C1 C 0.000 0.000 0.500
# * energy relative to the elements: 0.51 eV/atom
# * raw total energy: -6.4968 eV/atom
# * density of states at the Fermi level: 20.097 states/eV per cell
# * offset from the most stable computed form: 1272 meV per atom

# 2
# Ag4AsAu GGA-PBE relaxed
data_Ag4AsAu
_cell_length_a 7.730
_cell_length_b 7.730
_cell_length_c 7.730
_cell_angle_alpha 90.00
_cell_angle_beta 90.00
_cell_angle_gamma 90.00
_space_group_name_H-M_alt 'F -4 3 m'
_space_group_IT_number 216
_space_group_name_Hall 'F -4 2 3'
loop_
_atom_site_label
_atom_site_type_symbol
_atom_site_fract_x
_atom_site_fract_y
_atom_site_fract_z
Ag1 Ag 0.125 0.125 0.125
As1 As 0.250 0.250 0.750
Au1 Au 0.000 0.000 0.500
# * energy relative to the elements: 0.28 eV/atom
# * raw total energy: -2.9459 eV/atom
# * density of states at the Fermi level: 4.380 states/eV per cell

# 3
# Na3CeEr2O6 GGA-PBE relaxed
data_Na3CeEr2O6
_cell_length_a 5.993
_cell_length_b 10.386
_cell_length_c 5.941
_cell_angle_alpha 90.00
_cell_angle_beta 109.58
_cell_angle_gamma 90.00
_space_group_name_H-M_alt 'C 1 2/m 1'
_space_group_IT_number 12
_space_group_name_Hall '-C 2y'
loop_
_atom_site_label
_atom_site_type_symbol
_atom_site_fract_x
_atom_site_fract_y
_atom_site_fract_z
Na1 Na 0.000 0.000 0.000
Na2 Na 0.000 0.329 0.000
Ce1 Ce 0.000 0.500 0.500
Er1 Er 0.000 0.166 0.500
O1 O 0.225 0.000 0.712
O2 O 0.243 0.327 0.711
# * energy relative to the elements, uncorrected: -2.74 eV per atom
# * raw total energy: -6.8068 eV/atom
# * density of states at the Fermi level: 1.922 states/eV per cell

# 4
# CaFe2P GGA-PBE relaxed
data_CaFe2P
_cell_length_a 3.877
_cell_length_b 3.877
_cell_length_c 8.500
_cell_angle_alpha 90.00
_cell_angle_beta 90.00
_cell_angle_gamma 90.00
_space_group_name_H-M_alt 'I 4/m m m'
_space_group_IT_number 139
_space_group_name_Hall '-I 4 2'
loop_
_atom_site_label
_atom_site_type_symbol
_atom_site_fract_x
_atom_site_fract_y
_atom_site_fract_z
Ca1 Ca 0.000 0.000 0.000
Fe1 Fe 0.000 0.500 0.250
P1 P 0.000 0.000 0.500
# * energy relative to the elements: 0.23 eV/atom
# * raw total energy: -5.8520 eV/atom
# * density of states at the Fermi level: 7.554 states/eV per cell

# 5
# ScP2Pt GGA-PBE relaxed
data_ScP2Pt
_cell_length_a 2.885
_cell_length_b 4.522
_cell_length_c 5.039
_cell_angle_alpha 90.00
_cell_angle_beta 96.50
_cell_angle_gamma 90.00
_space_group_name_H-M_alt 'P 1 m 1'
_space_group_IT_number 6
_space_group_name_Hall 'P -2y'
loop_
_atom_site_label
_atom_site_type_symbol
_atom_site_fract_x
_atom_site_fract_y
_atom_site_fract_z
Sc1 Sc 0.000 0.000 0.000
P1 P 0.367 0.000 0.519
P2 P 0.524 0.500 0.153
Pt1 Pt 0.421 0.500 0.664
# * energy relative to the elements: -0.61 eV/atom
# * raw total energy: -6.4085 eV/atom
# * density of states at the Fermi level: 2.383 states/eV per cell
# * offset from the most stable computed form: 266 meV per atom

# 6
# Cu2BPb GGA-PBE relaxed
data_Cu2BPb
_cell_length_a 4.547
_cell_length_b 4.547
_cell_length_c 12.995
_cell_angle_alpha 90.00
_cell_angle_beta 90.00
_cell_angle_gamma 90.00
_space_group_name_H-M_alt 'I -4 2 d'
_space_group_IT_number 122
_space_group_name_Hall 'I -4 2bw'
loop_
_atom_site_label
_atom_site_type_symbol
_atom_site_fract_x
_atom_site_fract_y
_atom_site_fract_z
Cu1 Cu 0.049 0.250 0.125
B1 B 0.000 0.000 0.000
Pb1 Pb 0.000 0.000 0.500
# * energy relative to the elements: 0.57 eV/atom
# * raw total energy: -4.0761 eV/atom
# * density of states at the Fermi level: 7.631 states/eV per cell
# * offset from the most stable computed form: 0 meV per atom

# 7
# LaH2S GGA-PBE relaxed
data_LaH2S
_cell_length_a 4.0925
_cell_length_b 4.0925
_cell_length_c 11.5395
_cell_angle_alpha 90.00
_cell_angle_beta 90.00
_cell_angle_gamma 120.00
_space_group_name_H-M_alt 'R -3 m'
_space_group_IT_number 166
_space_group_name_Hall '-R 3 2"'
loop_
_atom_site_label
_atom_site_type_symbol
_atom_site_fract_x
_atom_site_fract_y
_atom_site_fract_z
La1 La 0.0000 0.0000 0.0000
H1 H 0.0000 0.0000 0.3029
S1 S 0.0000 0.0000 0.5000
# * raw total energy: -4.6830 eV/atom
# * density of states at the Fermi level: 4.860 states/eV per cell
# * offset from the most stable computed form: 124 meV per atom

# 8
# TmHf2Sc4 GGA-PBE relaxed
data_TmHf2Sc4
_cell_length_a 3.2751
_cell_length_b 3.2751
_cell_length_c 55.1774
_cell_angle_alpha 90.00
_cell_angle_beta 90.00
_cell_angle_gamma 120.00
_space_group_name_H-M_alt 'R -3 m'
_space_group_IT_number 166
_space_group_name_Hall '-R 3 2"'
loop_
_atom_site_label
_atom_site_type_symbol
_atom_site_fract_x
_atom_site_fract_y
_atom_site_fract_z
Tm1 Tm 0.0000 0.0000 0.0000
Hf1 Hf 0.0000 0.0000 0.1886
Sc1 Sc 0.0000 0.0000 0.0979
Sc2 Sc 0.0000 0.0000 0.3831
# * energy relative to the elements: 0.04 eV/atom
# * raw total energy: -7.0631 eV/atom
# * density of states at the Fermi level: 33.360 states/eV per cell
# * offset from the most stable computed form: 0 meV per atom

Look up the raw total energy of the fourth one.
-5.8520 eV/atom

Which value of raw total energy does entry 6 give?
-4.0761 eV/atom

density of states at the Fermi level of number 1 (Ti2GaC)?
20.097 states/eV per cell